# 1
Density functional theory data (GGA-PBE) for a relaxed structure of CsCoRu3.

POSCAR file:
```
CsCoRu3
1.0
4.636 0.000 0.000
0.000 4.636 0.000
0.000 0.000 4.636
Cs Co Ru
1 1 3
direct
0.000 0.000 0.000
0.500 0.500 0.500
0.000 0.500 0.500
0.500 0.000 0.500
0.500 0.500 0.000
```

Results
Distance to the lowest polymorph of the same formula ... 0.000 eV per atom
Crystal system ... cubic
Space-group type ... Pm-3m (221)
Formation energy ... 169 kJ per mole of atoms

---

# 2
Density functional theory data (GGA-PBE) for a relaxed structure of CsCoTcRu2.

POSCAR file:
```
CsCoTcRu2
1.0
4.867 0.000 0.000
0.000 4.867 0.000
0.000 0.000 4.565
Cs Co Tc Ru
1 1 1 2
direct
0.000 0.000 0.000
0.000 0.000 0.500
0.500 0.500 0.500
0.000 0.500 0.000
0.500 0.000 0.000
```

Results
Crystal system ... tetragonal
Space-group type ... P4/mmm (123)
Formation energy ... 294 kJ per mole of atoms

---

# 3
Density functional theory data (GGA-PBE) for a relaxed structure of CsCo2S2.

POSCAR file:
```
CsCo2S2
1.0
-2.130 2.130 6.210
2.130 -2.130 6.210
2.130 2.130 -6.210
Cs Co S
1 2 2
direct
0.000 0.000 0.000
0.303 0.303 0.000
0.697 0.697 0.000
0.250 0.750 0.500
0.750 0.250 0.500
```

Results
Distance to the lowest polymorph of the same formula ... 0.431 eV per atom
Crystal system ... tetragonal
Space-group type ... I4/mmm (139)
Energy relative to the elements, uncorrected ... -0.19 eV/atom

---

# 4
Density functional theory data (GGA-PBE) for a relaxed structure of CsCo3S.

POSCAR file:
```
CsCo3S
1.0
4.462 0.000 0.000
0.000 4.462 0.000
0.000 0.000 4.462
Cs Co S
1 3 1
direct
0.000 0.000 0.000
0.000 0.500 0.500
0.500 0.000 0.500
0.500 0.500 0.000
0.500 0.500 0.500
```

Results
Distance to the lowest polymorph of the same formula ... 0.000 eV per atom
Crystal system ... cubic
Space-group type ... Pm-3m (221)
Energy relative to the elements, uncorrected ... 0.71 eV/atom